## one
VASP calculation (PBE) on a relaxed LaNi2Br crystal.

It has space group Pmmm (No. 47), with a = 3.800 Å, b = 4.498 Å, c = 4.596 Å, α = 90.00°, β = 90.00° and γ = 90.00°. The asymmetric unit holds La at (0.000, 0.000, 0.000), Ni at (0.000, 0.500, 0.500), Ni at (0.500, 0.000, 0.500) and Br at (0.500, 0.500, 0.000).

The total magnetization is 0.000 μB/cell.


## two
VASP calculation (PBE) on a relaxed LaNi2Br crystal.

It has space group C2/m (No. 12), with a = 9.752 Å, b = 3.744 Å, c = 5.377 Å, α = 90.00°, β = 101.59° and γ = 90.00°. The asymmetric unit holds La at (0.000, 0.000, 0.000), Ni at (0.193, 0.500, 0.886) and Br at (0.000, 0.500, 0.500).

The total magnetization is 0.000 μB/cell.


Order from most stable to least stable according to the calculation: two, one


## one
VASP calculation (PBE) on a relaxed LiFeCo crystal.

It has space group Imm2 (No. 44), with a = 2.391 Å, b = 3.925 Å, c = 7.373 Å, α = 90.00°, β = 90.00° and γ = 90.00°. The asymmetric unit holds Li at (0.000, 0.000, 0.000), Fe at (0.000, 0.000, 0.330) and Co at (0.000, 0.000, 0.668).

The total magnetization is 8.148 μB/cell.


## two
VASP calculation (PBE) on a relaxed LiFeCo crystal.

It has space group F-43m (No. 216), with a = 5.265 Å, b = 5.265 Å, c = 5.265 Å, α = 90.00°, β = 90.00° and γ = 90.00°. The asymmetric unit holds Li at (0.000, 0.000, 0.000), Fe at (0.000, 0.000, 0.500) and Co at (0.250, 0.250, 0.750).

The total magnetization is 0.000 μB/cell.


Order from most stable to least stable according to the calculation: one, two


## one
VASP calculation (PBE) on a relaxed Tl2TePb crystal.

It has space group Pm (No. 6), with a = 3.384 Å, b = 5.967 Å, c = 6.290 Å, α = 90.00°, β = 90.10° and γ = 90.00°. The asymmetric unit holds Tl at (0.000, 0.000, 0.000), Tl at (0.007, 0.500, 0.697), Te at (0.502, 0.000, 0.488) and Pb at (0.502, 0.500, 0.209).

The total magnetization is 0.000 μB/cell.


## two
VASP calculation (PBE) on a relaxed Tl2TePb crystal.

It has space group R-3m (No. 166, hexagonal axes), with a = 4.2634 Å, b = 4.2634 Å, c = 25.6718 Å, α = 90.00°, β = 90.00° and γ = 120.00°. The asymmetric unit holds Tl at (0.0000, 0.0000, 0.2439), Te at (0.0000, 0.0000, 0.5000) and Pb at (0.0000, 0.0000, 0.0000).

The total magnetization is 0.000 μB/cell.


Order from most stable to least stable according to the calculation: one, two


## one
VASP calculation (PBE) on a relaxed NiOsRu2 crystal.

It has space group Cmmm (No. 65), with a = 5.327 Å, b = 7.527 Å, c = 2.686 Å, α = 90.00°, β = 90.00° and γ = 90.00°. The asymmetric unit holds Ni at (0.000, 0.000, 0.000), Os at (0.000, 0.500, 0.000) and Ru at (0.250, 0.250, 0.500).

The total magnetization is 0.000 μB/cell.


## two
VASP calculation (PBE) on a relaxed NiOsRu2 crystal.

It has space group Cmm2 (No. 35), with a = 2.726 Å, b = 4.532 Å, c = 8.982 Å, α = 90.00°, β = 90.00° and γ = 90.00°. The asymmetric unit holds Ni at (0.000, 0.000, 0.000), Os at (0.000, 0.500, 0.242), Ru at (0.000, 0.000, 0.501) and Ru at (0.000, 0.500, 0.757).

The total magnetization is 3.035 μB/cell.


Order from most stable to least stable according to the calculation: one, two